## YU5Se6 (GGA-PBE)

Data for a relaxed structure of YU5Se6.

Unit cell a=7.329 b=11.893 c=6.863 alpha=90.00 beta=108.18 gamma=90.00
Space group C2/m (No. 12)
Asymmetric unit:
1 Y 0.000 0.000 0.000 (multiplicity 2)
2 U 0.000 0.170 0.500 (multiplicity 4)
3 U 0.000 0.337 0.000 (multiplicity 4)
4 U 0.000 0.500 0.500 (multiplicity 2)
5 Se 0.244 0.000 0.746 (multiplicity 4)
6 Se 0.247 0.167 0.247 (multiplicity 8)

Results
N(E_F): 2.0853 states/eV per atom
electronic total energy: -194.5 eV per cell

=====

## YU3Se6 (GGA-PBE)

Data for a relaxed structure of YU3Se6.

Unit cell a=11.501 b=4.015 c=12.070 alpha=90.00 beta=108.18 gamma=90.00
Space group P2_1/m (No. 11)
Asymmetric unit:
1 Y 0.043 0.250 0.191 (multiplicity 2)
2 U 0.147 0.250 0.575 (multiplicity 2)
3 U 0.318 0.750 0.995 (multiplicity 2)
4 U 0.425 0.250 0.336 (multiplicity 2)
5 Se 0.089 0.750 0.395 (multiplicity 2)
6 Se 0.115 0.250 0.965 (multiplicity 2)
7 Se 0.192 0.750 0.749 (multiplicity 2)
8 Se 0.250 0.750 0.217 (multiplicity 2)
9 Se 0.394 0.250 0.564 (multiplicity 2)
10 Se 0.489 0.250 0.124 (multiplicity 2)

Results
N(E_F): 1.5820 states/eV per atom
electronic total energy: -147.3 eV per cell

=====

## YU2Se5 (GGA-PBE)

Data for a relaxed structure of YU2Se5.

Unit cell a=12.398 b=8.190 c=7.750 alpha=90.00 beta=90.00 gamma=90.00
Space group Pnma (No. 62)
Asymmetric unit:
1 Y 0.006 0.250 0.079 (multiplicity 4)
2 U 0.181 0.501 0.513 (multiplicity 8)
3 Se 0.001 0.250 0.467 (multiplicity 4)
4 Se 0.105 0.543 0.163 (multiplicity 8)
5 Se 0.184 0.250 0.822 (multiplicity 4)
6 Se 0.214 0.750 0.796 (multiplicity 4)

Results
N(E_F): 1.7583 states/eV per atom
electronic total energy: -229.0 eV per cell

=====

## Y2U3Se8 (GGA-PBE)

Data for a relaxed structure of Y2U3Se8.

Unit cell a=14.640 b=8.121 c=6.874 alpha=90.00 beta=108.26 gamma=90.00
Space group C2/m (No. 12)
Asymmetric unit:
1 Y 0.245 0.000 0.167 (multiplicity 4)
2 U 0.000 0.243 0.500 (multiplicity 4)
3 U 0.000 0.500 0.000 (multiplicity 2)
4 Se 0.116 0.000 0.402 (multiplicity 4)
5 Se 0.120 0.500 0.420 (multiplicity 4)
6 Se 0.125 0.258 0.915 (multiplicity 8)

Results
N(E_F): 1.1474 states/eV per atom
energy above the most stable polymorph in this dataset: 0.00 eV/f.u.
electronic total energy: -184.3 eV per cell

=====

## Y2U3Se8 (GGA-PBE)

Data for a relaxed structure of Y2U3Se8.

Unit cell a=9.774 b=14.009 c=4.959 alpha=90.00 beta=90.00 gamma=90.00
Space group Cmmm (No. 65)
Asymmetric unit:
1 Y 0.000 0.232 0.000 (multiplicity 4)
2 U 0.000 0.500 0.000 (multiplicity 2)
3 U 0.235 0.000 0.500 (multiplicity 4)
4 Se 0.000 0.128 0.500 (multiplicity 4)
5 Se 0.000 0.384 0.500 (multiplicity 4)
6 Se 0.239 0.377 0.000 (multiplicity 8)

Results
N(E_F): 1.3788 states/eV per atom
energy above the most stable polymorph in this dataset: 0.35 eV/f.u.
electronic total energy: -183.6 eV per cell

=====

## Y2U2Se7 (GGA-PBE)

Data for a relaxed structure of Y2U2Se7.

Unit cell a=4.034 b=14.880 c=8.952 alpha=90.00 beta=90.00 gamma=90.00
Space group Imm2 (No. 44)
Asymmetric unit:
1 Y 0.000 0.241 0.000 (multiplicity 4)
2 U 0.000 0.000 0.238 (multiplicity 2)
3 U 0.000 0.500 0.190 (multiplicity 2)
4 Se 0.000 0.000 0.920 (multiplicity 2)
5 Se 0.000 0.108 0.517 (multiplicity 4)
6 Se 0.000 0.317 0.300 (multiplicity 4)
7 Se 0.000 0.366 0.689 (multiplicity 4)

Results
N(E_F): 0.8982 states/eV per atom
energy above the most stable polymorph in this dataset: 0.00 eV/f.u.
electronic total energy: -151.4 eV per cell

=====

Number 1: total magnetic moment 13.5 μB/f.u., uncorrected formation energy -1.12 eV per atom. Number 2: total magnetic moment 2.8 μB/f.u., uncorrected formation energy -1.24 eV per atom. Number 3: total magnetic moment 5.0 μB/f.u., uncorrected formation energy -1.35 eV per atom. Number 4: total magnetic moment 8.0 μB/f.u., uncorrected formation energy -1.34 eV per atom. Number 5: total magnetic moment 8.0 μB/f.u., uncorrected formation energy -1.32 eV per atom. Number 6: total magnetic moment 4.0 μB/f.u., uncorrected formation energy -1.44 eV per atom.